No. 1
Material: CaSmH
Method: DFT, PBE
State: optimized geometry

abc: 3.6867 3.6867 6.0217
angles: 90.00 90.00 120.00
Closest atoms and distances in Å follow each position.
Space group P3m1 (No. 156)
One atom of each set of equivalent atoms:
Ca (0.0000, 0.0000, 0.0000) x1  3 H 2.66
Sm (0.3333, 0.6667, 0.4838) x1  3 H 2.50
H (0.6667, 0.3333, 0.2651) x1  3 Sm 2.50, 3 Ca 2.66

- volume (Å³/atom) = 23.63
- final energy (eV/f.u.) = -10.54

No. 2
Material: Ca3SmH
Method: DFT, PBE
State: optimized geometry

abc: 5.2962 5.2962 5.2962
angles: 90.00 90.00 90.00
Closest atoms and distances in Å follow each position.
Space group Pm-3m (No. 221)
One atom of each set of equivalent atoms:
Ca (0.0000, 0.0000, 0.5000) x3  2 H 2.65
Sm (0.5000, 0.5000, 0.5000) x1  12 Ca 3.74
H (0.0000, 0.0000, 0.0000) x1  6 Ca 2.65

- volume (Å³/atom) = 29.71
- final energy (eV/f.u.) = -14.13

No. 3
Material: Ca2SmH
Method: DFT, PBE
State: optimized geometry

abc: 3.5855 3.5855 29.9227
angles: 90.00 90.00 120.00
Closest atoms and distances in Å follow each position.
Space group R-3m (No. 166, hexagonal axes)
One atom of each set of equivalent atoms:
Ca (0.0000, 0.0000, 0.1171) x6  3 H 2.55
Sm (0.0000, 0.0000, 0.0000) x3  2 Ca 3.50, 6 Sm 3.59
H (0.0000, 0.0000, 0.5000) x3  6 Ca 2.55

- volume (Å³/atom) = 27.76
- final energy (eV/f.u.) = -11.88

No. 4
Material: CaSmH4
Method: DFT, PBE
State: optimized geometry

abc: 3.7855 3.7855 5.4202
angles: 90.00 90.00 90.00
Closest atoms and distances in Å follow each position.
Space group P4/mmm (No. 123)
One atom of each set of equivalent atoms:
Ca (0.0000, 0.0000, 0.0000) x1  8 H 2.34
Sm (0.5000, 0.5000, 0.5000) x1  8 H 2.32
H (0.0000, 0.5000, 0.2526) x4  2 Sm 2.32, 2 Ca 2.34

- volume (Å³/atom) = 12.95
- final energy (eV/f.u.) = -23.75